Entry a
The following is a DFT calculation (PBE-GGA) of NdYTe after structural relaxation.

The structure in POSCAR format:
```
NdYTe
1.0
4.109 0.000 0.000
0.000 5.206 0.000
0.000 -2.603 4.509
Y Te Nd
1 1 1
Direct
0.116 0.000 0.000 Y
0.284 0.333 0.667 Te
0.600 0.667 0.333 Nd
```

Results
Crystal system = trigonal

***

Entry b
The following is a DFT calculation (PBE-GGA) of NdYTe after structural relaxation.

The structure in POSCAR format:
```
NdYTe
1.0
4.490 0.000 0.000
0.000 4.490 0.000
0.000 0.000 8.773
Nd Y Te
2 2 2
Direct
0.750 0.750 0.360 Nd
0.250 0.250 0.640 Nd
0.250 0.750 0.000 Y
0.750 0.250 0.000 Y
0.250 0.250 0.266 Te
0.750 0.750 0.734 Te
```

Results
Crystal system = tetragonal

***

entry b comes first in stability; the runner-up is 386 meV per atom higher.

***

Entry a
The following is a DFT calculation (PBE-GGA) of NdYTe after structural relaxation.

The structure in POSCAR format:
```
NdYTe
1.0
3.939 0.000 0.000
0.000 3.939 0.000
-1.970 -1.970 5.906
Y Te Nd
1 1 1
Direct
0.316 0.316 0.632 Y
0.676 0.676 0.352 Te
0.008 0.008 0.016 Nd
```

Results
Crystal system = tetragonal

***

Entry b
The following is a DFT calculation (PBE-GGA) of NdYTe after structural relaxation.

The structure in POSCAR format:
```
NdYTe
1.0
4.061 0.000 0.000
0.000 11.242 0.374
-2.031 -0.728 8.408
Nd Y Te
4 4 4
Direct
0.974 0.648 0.948 Nd
0.614 0.841 0.228 Nd
0.386 0.159 0.772 Nd
0.026 0.352 0.052 Nd
0.750 0.341 0.500 Y
0.192 0.082 0.384 Y
0.250 0.659 0.500 Y
0.808 0.918 0.616 Y
0.618 0.544 0.236 Te
0.425 0.843 0.851 Te
0.382 0.456 0.764 Te
0.575 0.157 0.149 Te
```

Results
Crystal system = monoclinic

***

entry a comes first in stability; the runner-up is 9 meV per atom higher.